PmIrPb: optimized geometry, PBE.

It has space group P-6m2 (No. 187), with a = 4.8188 Å, b = 4.8188 Å, c = 3.4930 Å, α = 90.00°, β = 90.00° and γ = 120.00°. The inequivalent atoms are Pm at (0.0000, 0.0000, 0.0000), Ir at (0.3333, 0.6667, 0.5000) and Pb at (0.6667, 0.3333, 0.5000).

The calculation puts the total magnetization at 0.000 μB per atom. The value obtained for the energy is -18.350 eV/cell. The value obtained for the calculated formation energy is -0.34 eV per atom. The calculation puts the energy above the most stable polymorph in this dataset at 0.15 eV per formula unit. The mass density comes out at 12.87 Mg/m³.

PmIrPb: optimized geometry, PBE.

It has space group F-43m (No. 216), with a = 6.800 Å, b = 6.800 Å, c = 6.800 Å, α = 90.00°, β = 90.00° and γ = 90.00°. The inequivalent atoms are Pm at (0.000, 0.000, 0.000), Ir at (0.250, 0.250, 0.250) and Pb at (0.000, 0.000, 0.500).

The calculation puts the total magnetization at 0.000 μB per atom. The value obtained for the energy is -74.003 eV/cell. The value obtained for the calculated formation energy is -0.39 eV per atom. The calculation puts the energy above the most stable polymorph in this dataset at 0.00 eV per formula unit. The mass density comes out at 11.50 Mg/m³.

Pm7Ir2Pb: optimized geometry, PBE.

It has space group I4/mmm (No. 139), with a = 4.946 Å, b = 4.946 Å, c = 23.862 Å, α = 90.00°, β = 90.00° and γ = 90.00°. The inequivalent atoms are Pm at (0.000, 0.000, 0.000), Pm at (0.000, 0.500, 0.105), Pm at (0.000, 0.500, 0.250), Ir at (0.000, 0.000, 0.175) and Pb at (0.000, 0.000, 0.500).

The calculation puts the total magnetization at 0.000 μB per atom. The value obtained for the energy is -118.081 eV/cell. The value obtained for the calculated formation energy is -0.44 eV per atom. The mass density comes out at 9.14 Mg/m³.

PmIrPb: optimized geometry, PBE.

It has space group I4mm (No. 107), with a = 3.461 Å, b = 3.461 Å, c = 11.959 Å, α = 90.00°, β = 90.00° and γ = 90.00°. The inequivalent atoms are Pm at (0.000, 0.000, 0.000), Ir at (0.000, 0.000, 0.357) and Pb at (0.000, 0.000, 0.716).

The calculation puts the total magnetization at 0.000 μB per atom. The value obtained for the energy is -36.192 eV/cell. The value obtained for the calculated formation energy is -0.26 eV per atom. The calculation puts the energy above the most stable polymorph in this dataset at 0.41 eV per formula unit. The mass density comes out at 12.62 Mg/m³.

Pm6IrPb3: optimized geometry, PBE.

It has space group P2_1/m (No. 11), with a = 11.978 Å, b = 3.831 Å, c = 14.357 Å, α = 90.00°, β = 108.50° and γ = 90.00°. The inequivalent atoms are Pm at (0.002, 0.250, 0.165), Pm at (0.105, 0.750, 0.409), Pm at (0.266, 0.250, 0.841), Pm at (0.332, 0.250, 0.260), Pm at (0.377, 0.250, 0.643), Pm at (0.413, 0.750, 0.069), Ir at (0.437, 0.750, 0.807), Pb at (0.130, 0.750, 0.644), Pb at (0.164, 0.250, 0.025) and Pb at (0.388, 0.750, 0.455).

The calculation puts the total magnetization at 0.000 μB per atom. The value obtained for the energy is -105.161 eV/cell. The value obtained for the calculated formation energy is -0.41 eV per atom. The mass density comes out at 8.95 Mg/m³.

Pm3Ir2Pb: optimized geometry, PBE.

It has space group Ibam (No. 72), with a = 6.920 Å, b = 13.517 Å, c = 7.160 Å, α = 90.00°, β = 90.00° and γ = 90.00°. The inequivalent atoms are Pm at (0.000, 0.000, 0.250), Pm at (0.000, 0.274, 0.250), Ir at (0.206, 0.137, 0.000) and Pb at (0.000, 0.500, 0.000).

The calculation puts the total magnetization at 0.000 μB per atom. The value obtained for the energy is -155.071 eV/cell. The value obtained for the calculated formation energy is -0.51 eV per atom. The mass density comes out at 10.18 Mg/m³.

Pm4IrPb3: optimized geometry, PBE.

It has space group Pmm2 (No. 25), with a = 4.377 Å, b = 4.619 Å, c = 11.554 Å, α = 90.00°, β = 90.00° and γ = 90.00°. The inequivalent atoms are Pm at (0.000, 0.000, 0.000), Pm at (0.000, 0.500, 0.242), Pm at (0.500, 0.000, 0.438), Pm at (0.500, 0.500, 0.746), Ir at (0.500, 0.000, 0.192), Pb at (0.000, 0.000, 0.708), Pb at (0.000, 0.500, 0.517) and Pb at (0.500, 0.500, 0.023).

The calculation puts the total magnetization at 0.000 μB per atom. The value obtained for the energy is -43.154 eV/cell. The value obtained for the calculated formation energy is -0.52 eV per atom. The mass density comes out at 9.91 Mg/m³.

Pm6IrPb6: optimized geometry, PBE.

It has space group P6/mmm (No. 191), with a = 6.6843 Å, b = 6.6843 Å, c = 10.7250 Å, α = 90.00°, β = 90.00° and γ = 120.00°. The inequivalent atoms are Pm at (0.0000, 0.0000, 0.2432), Pm at (0.3333, 0.6667, 0.0000), Pm at (0.3333, 0.6667, 0.5000), Ir at (0.0000, 0.0000, 0.0000) and Pb at (0.0000, 0.5000, 0.2541).

The calculation puts the total magnetization at 0.000 μB per atom. The value obtained for the energy is -63.276 eV/cell. The value obtained for the calculated formation energy is -0.28 eV per atom. The mass density comes out at 9.22 Mg/m³.

Pm6IrPb2: optimized geometry, PBE.

It has space group Amm2 (No. 38), with a = 4.208 Å, b = 14.911 Å, c = 8.618 Å, α = 90.00°, β = 90.00° and γ = 90.00°. The inequivalent atoms are Pm at (0.000, 0.000, 0.000), Pm at (0.000, 0.119, 0.640), Pm at (0.500, 0.000, 0.359), Pm at (0.500, 0.200, 0.960), Ir at (0.500, 0.000, 0.761) and Pb at (0.000, 0.167, 0.260).

The calculation puts the total magnetization at 0.000 μB per atom. The value obtained for the energy is -98.383 eV/cell. The value obtained for the calculated formation energy is -0.49 eV per atom. The mass density comes out at 9.07 Mg/m³.

PmIrPb2: optimized geometry, PBE.

It has space group P4/mmm (No. 123), with a = 4.526 Å, b = 4.526 Å, c = 4.729 Å, α = 90.00°, β = 90.00° and γ = 90.00°. The inequivalent atoms are Pm at (0.000, 0.000, 0.000), Ir at (0.500, 0.500, 0.000) and Pb at (0.000, 0.500, 0.500).

The calculation puts the total magnetization at 0.000 μB per atom. The value obtained for the energy is -21.517 eV/cell. The value obtained for the calculated formation energy is -0.12 eV per atom. The mass density comes out at 12.88 Mg/m³.

Pm4IrPb: optimized geometry, PBE.

It has space group P-1 (No. 2), with a = 6.231 Å, b = 7.930 Å, c = 8.712 Å, α = 113.13°, β = 104.58° and γ = 101.42°. The inequivalent atoms are Pm at (0.055, 0.402, 0.250), Pm at (0.171, 0.858, 0.223), Pm at (0.335, 0.304, 0.655), Pm at (0.409, 0.182, 0.027), Ir at (0.256, 0.500, 0.999) and Pb at (0.266, 0.837, 0.605).

The calculation puts the total magnetization at 0.000 μB per atom. The value obtained for the energy is -68.989 eV/cell. The value obtained for the calculated formation energy is -0.49 eV per atom. The calculation puts the energy above the most stable polymorph in this dataset at 0.13 eV per formula unit. The mass density comes out at 9.01 Mg/m³.

Pm6Ir2Pb: optimized geometry, PBE.

It has space group C2/m (No. 12), with a = 11.252 Å, b = 5.623 Å, c = 9.628 Å, α = 90.00°, β = 124.22° and γ = 90.00°. The inequivalent atoms are Pm at (0.028, 0.000, 0.177), Pm at (0.121, 0.500, 0.438), Pm at (0.195, 0.500, 0.083), Ir at (0.195, 0.500, 0.779) and Pb at (0.000, 0.000, 0.500).

The calculation puts the total magnetization at 0.000 μB per atom. The value obtained for the energy is -106.535 eV/cell. The value obtained for the calculated formation energy is -0.37 eV per atom. The calculation puts the energy above the most stable polymorph in this dataset at 1.41 eV per formula unit. The mass density comes out at 9.64 Mg/m³.